w:
The following is a DFT calculation (SCAN) of Ca3Eu at its PBEsol-relaxed geometry.

Cell lengths 7.681, 7.681, 6.318 Å; angles 90.00, 90.00, 120.00 degrees
Positions (direct):
Ca (0.167, 0.335, 0.250)
Ca (0.167, 0.833, 0.250)
Ca (0.335, 0.167, 0.750)
Ca (0.665, 0.833, 0.250)
Ca (0.833, 0.167, 0.750)
Ca (0.833, 0.665, 0.750)
Eu (0.333, 0.667, 0.750)
Eu (0.667, 0.333, 0.250)

DOS at the Fermi energy in states/eV per cell: 17.9
SG: P6_3/mmc
Calculated density in g/cm³: 2.80


x:
The following is a DFT calculation (SCAN) of Ca3Eu at its PBEsol-relaxed geometry.

Cell lengths 5.457, 5.457, 5.457 Å; angles 90.00, 90.00, 90.00 degrees
Positions (direct):
Ca (0.000, 0.000, 0.500)
Ca (0.000, 0.500, 0.000)
Ca (0.500, 0.000, 0.000)
Eu (0.500, 0.500, 0.500)

DOS at the Fermi energy in states/eV per cell: 3.7
SG: Pm-3m
Calculated density in g/cm³: 2.78


Most stable: w


w:
The following is a DFT calculation (SCAN) of CaF2 at its PBEsol-relaxed geometry.

Cell lengths 5.906, 3.561, 6.948 Å; angles 90.00, 90.00, 90.00 degrees
Positions (direct):
Ca (0.250, 0.250, 0.109)
Ca (0.250, 0.750, 0.609)
Ca (0.750, 0.250, 0.391)
Ca (0.750, 0.750, 0.891)
F (0.019, 0.250, 0.836)
F (0.142, 0.250, 0.425)
F (0.358, 0.750, 0.925)
F (0.481, 0.750, 0.336)
F (0.519, 0.250, 0.664)
F (0.642, 0.250, 0.075)
F (0.858, 0.750, 0.575)
F (0.981, 0.750, 0.164)

DOS at the Fermi energy in states/eV per cell: 0.0
SG: Pnma
Calculated density in g/cm³: 3.55


x:
The following is a DFT calculation (SCAN) of CaF2 at its PBEsol-relaxed geometry.

Cell lengths 3.833, 3.833, 3.833 Å; angles 60.00, 60.00, 60.00 degrees
Positions (direct):
Ca (0.000, 0.000, 0.000)
F (0.250, 0.250, 0.250)
F (0.750, 0.750, 0.750)

DOS at the Fermi energy in states/eV per cell: 0.0
SG: Fm-3m
Calculated density in g/cm³: 3.26


Most stable: x


w:
The following is a DFT calculation (SCAN) of Na2Ca5TiSi4O16F2 at its PBEsol-relaxed geometry.

Cell lengths 7.324, 5.648, 18.972 Å; angles 90.00, 101.09, 90.00 degrees
Positions (direct):
Na (0.243, 0.000, 0.250)
Na (0.251, 0.505, 0.756)
Na (0.749, 0.005, 0.244)
Na (0.757, 0.500, 0.750)
Ca (0.094, 0.666, 0.942)
Ca (0.096, 0.823, 0.449)
Ca (0.400, 0.165, 0.057)
Ca (0.405, 0.340, 0.565)
Ca (0.498, 0.505, 0.249)
Ca (0.502, 0.005, 0.751)
Ca (0.595, 0.840, 0.435)
Ca (0.600, 0.665, 0.943)
Ca (0.904, 0.323, 0.551)
Ca (0.906, 0.166, 0.058)
Ti (0.010, 0.971, 0.763)
Ti (0.990, 0.471, 0.237)
Si (0.212, 0.661, 0.110)
Si (0.214, 0.843, 0.613)
Si (0.348, 0.342, 0.392)
Si (0.351, 0.162, 0.892)
Si (0.649, 0.662, 0.108)
Si (0.652, 0.842, 0.608)
Si (0.786, 0.343, 0.387)
Si (0.788, 0.161, 0.890)
O (0.027, 0.707, 0.810)
O (0.051, 0.732, 0.321)
O (0.148, 0.435, 0.059)
O (0.151, 0.592, 0.575)
O (0.152, 0.905, 0.068)
O (0.154, 0.061, 0.558)
O (0.168, 0.641, 0.191)
O (0.174, 0.876, 0.694)
O (0.215, 0.393, 0.313)
O (0.221, 0.148, 0.812)
O (0.320, 0.078, 0.421)
O (0.337, 0.405, 0.935)
O (0.340, 0.934, 0.943)
O (0.350, 0.549, 0.451)
O (0.443, 0.656, 0.132)
O (0.447, 0.849, 0.634)
O (0.553, 0.349, 0.366)
O (0.557, 0.156, 0.868)
O (0.650, 0.049, 0.549)
O (0.660, 0.434, 0.057)
O (0.663, 0.905, 0.065)
O (0.680, 0.578, 0.579)
O (0.779, 0.648, 0.188)
O (0.785, 0.893, 0.687)
O (0.826, 0.376, 0.306)
O (0.832, 0.141, 0.809)
O (0.846, 0.561, 0.442)
O (0.848, 0.405, 0.932)
O (0.849, 0.092, 0.425)
O (0.852, 0.935, 0.941)
O (0.949, 0.232, 0.679)
O (0.973, 0.207, 0.190)
F (0.464, 0.170, 0.186)
F (0.466, 0.339, 0.690)
F (0.534, 0.839, 0.310)
F (0.536, 0.670, 0.814)

DOS at the Fermi energy in states/eV per cell: 10.0
SG: P2_1
Calculated density in g/cm³: 3.02


x:
The following is a DFT calculation (SCAN) of Na2Ca5TiSi4O16F2 at its PBEsol-relaxed geometry.

Cell lengths 5.695, 7.363, 9.702 Å; angles 100.79, 101.71, 90.22 degrees
Positions (direct):
Na (0.000, 0.000, 0.000)
Na (0.498, 0.766, 0.001)
Ca (0.195, 0.917, 0.641)
Ca (0.203, 0.420, 0.631)
Ca (0.491, 0.267, 0.989)
Ca (0.784, 0.598, 0.360)
Ca (0.800, 0.099, 0.352)
Ti (0.985, 0.521, 0.014)
Si (0.253, 0.294, 0.278)
Si (0.261, 0.860, 0.287)
Si (0.745, 0.725, 0.723)
Si (0.747, 0.157, 0.709)
O (0.074, 0.373, 0.382)
O (0.077, 0.837, 0.391)
O (0.180, 0.341, 0.116)
O (0.187, 0.724, 0.127)
O (0.199, 0.066, 0.244)
O (0.216, 0.457, 0.877)
O (0.460, 0.676, 0.669)
O (0.461, 0.178, 0.663)
O (0.536, 0.342, 0.341)
O (0.543, 0.851, 0.352)
O (0.741, 0.523, 0.106)
O (0.798, 0.953, 0.755)
O (0.829, 0.682, 0.886)
O (0.836, 0.299, 0.866)
O (0.916, 0.646, 0.613)
O (0.920, 0.172, 0.599)
F (0.301, 0.990, 0.884)
F (0.689, 0.056, 0.108)

DOS at the Fermi energy in states/eV per cell: 9.9
SG: P1
Calculated density in g/cm³: 2.98


Most stable: x